The following is a DFT calculation (PBE) of crystalline BeZnPb2 at its relaxed geometry.

a = 6.0350 Å, b = 6.0350 Å, c = 6.1130 Å
α = 139.83°, β = 139.83°, γ = 59.04°
Closest atoms and distances in Å follow each position.
Sites, in units of the cell vectors:
Pb (0.2428, 0.7572, 0.5000)  4 Be 2.93-3.00
Be (0.7467, 0.2532, 0.5000)  4 Pb 2.93-3.00
Pb (0.0071, 0.9928, 0.0000)  4 Zn 2.93-3.00
Zn (0.5034, 0.4968, 0.0000)  4 Pb 2.93-3.00

## Properties
Its space-group type is No. 5. The relative energy among the computed polymorphs is 297.7 meV per atom. As for the formation energy: 0.520 eV per atom. The density of states at the Fermi level is 0.29 states/eV/atom. Its total magnetization is 0.00 μB per formula unit.